[1]
VASP calculation (GGA-PBE) on an optimized crystal structure of MnAgPIrBr.

Output
As for the relative energy among the computed polymorphs: 26.7 meV per atom. The space group is Cm. The density of states at the Fermi level is 5.18 states/eV/cell. The calculation puts the formation energy (no corrections) at -46.0 meV/atom.

abc: 6.332 3.654 8.493
angles: 90.00 104.27 90.00
Positions (direct):
1 Mn 0.000 0.000 0.000
2 Mn 0.500 0.500 0.000
3 Ag 0.258 0.000 0.775
4 Ag 0.758 0.500 0.775
5 P 0.210 0.500 0.131
6 P 0.710 0.000 0.131
7 Ir 0.411 0.000 0.235
8 Ir 0.911 0.500 0.235
9 Br 0.013 0.500 0.541
10 Br 0.513 0.000 0.541

[2]
VASP calculation (GGA-PBE) on an optimized crystal structure of Sc4AgS2.

Output
The space group is Cmcm. The density of states at the Fermi level is 7.46 states/eV/cell. The calculation puts the formation energy (no corrections) at -1168.0 meV/atom.

abc: 6.302 6.302 12.726
angles: 90.00 90.00 146.28
Positions (direct):
1 Sc 0.000 0.000 0.000
2 Sc 0.000 0.000 0.500
3 Sc 0.271 0.729 0.619
4 Sc 0.271 0.729 0.881
5 Sc 0.431 0.569 0.250
6 Sc 0.569 0.431 0.750
7 Sc 0.729 0.271 0.119
8 Sc 0.729 0.271 0.381
9 Ag 0.109 0.891 0.250
10 Ag 0.891 0.109 0.750
11 S 0.364 0.636 0.060
12 S 0.364 0.636 0.440
13 S 0.636 0.364 0.560
14 S 0.636 0.364 0.940

[3]
VASP calculation (GGA-PBE) on an optimized crystal structure of Pr6Nd3Er2Tl.

Output
The space group is C2/m. The density of states at the Fermi level is 15.80 states/eV/cell. For the formation energy from the elements, the calculation gives 0.00 eV/atom.

abc: 6.335 6.335 11.942
angles: 95.23 95.23 120.33
Positions (direct):
1 Pr 0.079 0.406 0.242
2 Pr 0.247 0.247 0.755
3 Pr 0.406 0.079 0.242
4 Pr 0.594 0.921 0.758
5 Pr 0.753 0.753 0.245
6 Pr 0.921 0.594 0.758
7 Nd 0.169 0.831 0.500
8 Nd 0.500 0.500 0.500
9 Nd 0.831 0.169 0.500
10 Er 0.335 0.665 0.000
11 Er 0.665 0.335 0.000
12 Tl 0.000 0.000 0.000

[4]
VASP calculation (GGA-PBE) on an optimized crystal structure of LiAcMgIr.

Output
The space group is F-43m. The density of states at the Fermi level is 11.34 states/eV/cell. For the formation energy from the elements, the calculation gives -0.25 eV/atom.

abc: 7.096 7.096 7.096
angles: 90.00 90.00 90.00
Positions (direct):
1 Li 0.000 0.000 0.000
2 Li 0.000 0.500 0.500
3 Li 0.500 0.000 0.500
4 Li 0.500 0.500 0.000
5 Ac 0.250 0.250 0.750
6 Ac 0.250 0.750 0.250
7 Ac 0.750 0.250 0.250
8 Ac 0.750 0.750 0.750
9 Mg 0.250 0.250 0.250
10 Mg 0.250 0.750 0.750
11 Mg 0.750 0.250 0.750
12 Mg 0.750 0.750 0.250
13 Ir 0.000 0.000 0.500
14 Ir 0.000 0.500 0.000
15 Ir 0.500 0.000 0.000
16 Ir 0.500 0.500 0.500

[5]
VASP calculation (GGA-PBE) on an optimized crystal structure of KCdClF2.

Output
The space group is P4/mmm. The density of states at the Fermi level is 0.00 states/eV/cell. The calculation puts the formation energy (no corrections) at -2075.5 meV/atom.

abc: 4.491 4.491 5.286
angles: 90.00 90.00 90.00
Positions (direct):
1 K 0.000 0.000 0.000
2 Cd 0.500 0.500 0.500
3 Cl 0.500 0.500 0.000
4 F 0.000 0.500 0.500
5 F 0.500 0.000 0.500

[6]
VASP calculation (GGA-PBE) on an optimized crystal structure of ErGa2O4.

Output
The space group is P-42m. The density of states at the Fermi level is 0.69 states/eV/cell. The calculation puts the formation energy (no corrections) at -2074.5 meV/atom.

abc: 4.526 4.526 5.273
angles: 90.00 90.00 90.00
Positions (direct):
1 Er 0.000 0.000 0.000
2 Ga 0.000 0.500 0.500
3 Ga 0.500 0.000 0.500
4 O 0.241 0.241 0.291
5 O 0.241 0.759 0.709
6 O 0.759 0.241 0.709
7 O 0.759 0.759 0.291

[7]
VASP calculation (GGA-PBE) on an optimized crystal structure of Ac2PrNdEr.

Output
The space group is Pmma. The density of states at the Fermi level is 13.43 states/eV/cell. For the formation energy from the elements, the calculation gives 0.24 eV/atom.

abc: 6.508 8.851 6.875
angles: 90.00 90.00 90.00
Positions (direct):
1 Ac 0.250 0.207 0.212
2 Ac 0.250 0.793 0.212
3 Ac 0.750 0.207 0.788
4 Ac 0.750 0.793 0.788
5 Pr 0.250 0.500 0.913
6 Pr 0.750 0.500 0.087
7 Nd 0.250 0.000 0.683
8 Nd 0.750 0.000 0.317
9 Er 0.000 0.500 0.500
10 Er 0.500 0.500 0.500

[8]
VASP calculation (GGA-PBE) on an optimized crystal structure of LaAlGe.

Output
The space group is I4_1md. The density of states at the Fermi level is 2.86 states/eV/cell. For the formation energy from the elements, the calculation gives -0.72 eV/atom.

abc: 4.373 4.373 14.829
angles: 90.00 90.00 90.00
Positions (direct):
1 La 0.000 0.000 0.000
2 La 0.000 0.500 0.250
3 La 0.500 0.000 0.750
4 La 0.500 0.500 0.500
5 Al 0.000 0.000 0.417
6 Al 0.000 0.500 0.667
7 Al 0.500 0.000 0.167
8 Al 0.500 0.500 0.917
9 Ge 0.000 0.000 0.584
10 Ge 0.000 0.500 0.834
11 Ge 0.500 0.000 0.334
12 Ge 0.500 0.500 0.084

[9]
VASP calculation (GGA-PBE) on an optimized crystal structure of AlPbS2.

Output
The space group is R-3m. The density of states at the Fermi level is 10.31 states/eV/cell. The calculation puts the formation energy (no corrections) at -180.3 meV/atom.

abc: 4.312 4.312 22.770
angles: 90.00 90.00 120.00
Positions (direct):
1 Al 0.000 0.000 0.000
2 Al 0.333 0.667 0.667
3 Al 0.667 0.333 0.333
4 Pb 0.000 0.000 0.500
5 Pb 0.333 0.667 0.167
6 Pb 0.667 0.333 0.833
7 S 0.000 0.000 0.096
8 S 0.000 0.000 0.904
9 S 0.333 0.667 0.571
10 S 0.333 0.667 0.763
11 S 0.667 0.333 0.237
12 S 0.667 0.333 0.429

[10]
VASP calculation (GGA-PBE) on an optimized crystal structure of Tl5Sb.

Output
As for the relative energy among the computed polymorphs: 0.0 meV per atom. The space group is Cmmm. The density of states at the Fermi level is 5.30 states/eV/cell. The calculation puts the formation energy (no corrections) at -13.4 meV/atom.

abc: 5.101 13.826 5.280
angles: 90.00 90.00 90.00
Positions (direct):
1 Tl 0.000 0.000 0.000
2 Tl 0.000 0.159 0.500
3 Tl 0.000 0.339 0.000
4 Tl 0.000 0.661 0.000
5 Tl 0.000 0.841 0.500
6 Tl 0.500 0.161 0.000
7 Tl 0.500 0.341 0.500
8 Tl 0.500 0.500 0.000
9 Tl 0.500 0.659 0.500
10 Tl 0.500 0.839 0.000
11 Sb 0.000 0.500 0.500
12 Sb 0.500 0.000 0.500

[11]
VASP calculation (GGA-PBE) on an optimized crystal structure of Ni2PBr.

Output
As for the relative energy among the computed polymorphs: 360.3 meV per atom. The space group is Cmmm. The density of states at the Fermi level is 5.90 states/eV/cell. The calculation puts the formation energy (no corrections) at 94.9 meV/atom.

abc: 3.487 6.129 6.499
angles: 90.00 90.00 90.00
Positions (direct):
1 Ni 0.000 0.000 0.192
2 Ni 0.000 0.000 0.808
3 Ni 0.500 0.500 0.192
4 Ni 0.500 0.500 0.808
5 P 0.000 0.500 0.000
6 P 0.500 0.000 0.000
7 Br 0.000 0.500 0.500
8 Br 0.500 0.000 0.500

[12]
VASP calculation (GGA-PBE) on an optimized crystal structure of NbPbO2.

Output
As for the relative energy among the computed polymorphs: 0.0 meV per atom. The space group is R-3m. The density of states at the Fermi level is 6.17 states/eV/cell. The calculation puts the formation energy (no corrections) at -1514.8 meV/atom.

abc: 3.105 3.105 22.689
angles: 90.00 90.00 120.00
Positions (direct):
1 Nb 0.000 0.000 0.000
2 Nb 0.333 0.667 0.667
3 Nb 0.667 0.333 0.333
4 Pb 0.000 0.000 0.500
5 Pb 0.333 0.667 0.167
6 Pb 0.667 0.333 0.833
7 O 0.000 0.000 0.386
8 O 0.000 0.000 0.614
9 O 0.333 0.667 0.053
10 O 0.333 0.667 0.280
11 O 0.667 0.333 0.720
12 O 0.667 0.333 0.947

[13]
VASP calculation (GGA-PBE) on an optimized crystal structure of LaTb3Ce2P6.

Output
The space group is C2/m. The density of states at the Fermi level is 10.41 states/eV/cell. For the formation energy from the elements, the calculation gives -1.57 eV/atom.

abc: 7.085 7.085 7.069
angles: 99.62 99.62 120.00
Positions (direct):
1 La 0.000 0.000 0.000
2 Tb 0.165 0.835 0.500
3 Tb 0.500 0.500 0.500
4 Tb 0.835 0.165 0.500
5 Ce 0.333 0.667 0.000
6 Ce 0.667 0.333 0.000
7 P 0.085 0.426 0.255
8 P 0.256 0.256 0.745
9 P 0.426 0.085 0.255
10 P 0.574 0.915 0.745
11 P 0.744 0.744 0.255
12 P 0.915 0.574 0.745

[14]
VASP calculation (GGA-PBE) on an optimized crystal structure of CaPd3F.

Output
As for the relative energy among the computed polymorphs: 1007.6 meV per atom. The space group is Pm-3m. The density of states at the Fermi level is 2.53 states/eV/cell. The calculation puts the formation energy (no corrections) at 662.6 meV/atom.

abc: 5.028 5.028 5.028
angles: 90.00 90.00 90.00
Positions (direct):
1 Ca 0.000 0.000 0.000
2 Pd 0.000 0.000 0.500
3 Pd 0.000 0.500 0.000
4 Pd 0.500 0.000 0.000
5 F 0.500 0.500 0.500

[15]
VASP calculation (GGA-PBE) on an optimized crystal structure of B5C7.

Output
As for the relative energy among the computed polymorphs: 40.6 meV per atom. The space group is P3m1. The density of states at the Fermi level is 1.26 states/eV/cell. For the formation energy from the elements, the calculation gives 0.30 eV/atom.

abc: 2.666 2.666 14.569
angles: 90.00 90.00 120.00
Positions (direct):
1 B 0.000 0.000 0.000
2 B 0.000 0.000 0.269
3 B 0.000 0.000 0.580
4 B 0.333 0.667 0.392
5 B 0.333 0.667 0.838
6 C 0.000 0.000 0.694
7 C 0.333 0.667 0.279
8 C 0.333 0.667 0.724
9 C 0.667 0.333 0.440
10 C 0.667 0.333 0.537
11 C 0.667 0.333 0.879
12 C 0.667 0.333 0.987

[16]
VASP calculation (GGA-PBE) on an optimized crystal structure of SrSc2Ir.

Output
As for the relative energy among the computed polymorphs: 104.3 meV per atom. The space group is P4mm. The density of states at the Fermi level is 3.41 states/eV/cell. For the formation energy from the elements, the calculation gives -0.26 eV/atom.

abc: 3.680 3.680 7.883
angles: 90.00 90.00 90.00
Positions (direct):
1 Sr 0.000 0.000 0.000
2 Sc 0.000 0.000 0.405
3 Sc 0.500 0.500 0.643
4 Ir 0.500 0.500 0.312

[17]
VASP calculation (GGA-PBE) on an optimized crystal structure of ScCdRe2.

Output
The space group is Cmm2. The density of states at the Fermi level is 6.47 states/eV/cell. For the formation energy from the elements, the calculation gives 0.23 eV/atom.

abc: 3.215 4.624 9.441
angles: 90.00 90.00 90.00
Positions (direct):
1 Sc 0.000 0.000 0.000
2 Sc 0.500 0.500 0.000
3 Cd 0.000 0.500 0.720
4 Cd 0.500 0.000 0.720
5 Re 0.000 0.000 0.455
6 Re 0.000 0.500 0.238
7 Re 0.500 0.000 0.238
8 Re 0.500 0.500 0.455

[18]
VASP calculation (GGA-PBE) on an optimized crystal structure of TlCuCl3.

Output
The space group is Amm2. The density of states at the Fermi level is 0.00 states/eV/cell. The calculation puts the formation energy (no corrections) at -612.2 meV/atom.

abc: 3.517 9.534 8.788
angles: 90.00 90.00 90.00
Positions (direct):
1 Tl 0.000 0.000 0.000
2 Tl 0.000 0.500 0.500
3 Cu 0.500 0.000 0.535
4 Cu 0.500 0.500 0.035
5 Cl 0.000 0.160 0.576
6 Cl 0.000 0.340 0.076
7 Cl 0.000 0.660 0.076
8 Cl 0.000 0.840 0.576
9 Cl 0.500 0.000 0.252
10 Cl 0.500 0.500 0.752

[19]
VASP calculation (GGA-PBE) on an optimized crystal structure of BaEu6.

Output
The space group is Im-3m. The density of states at the Fermi level is 22.10 states/eV/cell. For the formation energy from the elements, the calculation gives 0.81 eV/atom.

abc: 9.223 9.223 9.223
angles: 90.00 90.00 90.00
Positions (direct):
1 Ba 0.000 0.000 0.000
2 Ba 0.500 0.500 0.500
3 Eu 0.000 0.250 0.500
4 Eu 0.000 0.500 0.250
5 Eu 0.000 0.500 0.750
6 Eu 0.000 0.750 0.500
7 Eu 0.250 0.000 0.500
8 Eu 0.250 0.500 0.000
9 Eu 0.500 0.000 0.250
10 Eu 0.500 0.000 0.750
11 Eu 0.500 0.250 0.000
12 Eu 0.500 0.750 0.000
13 Eu 0.750 0.000 0.500
14 Eu 0.750 0.500 0.000

[20]
VASP calculation (GGA-PBE) on an optimized crystal structure of MnAg.

Output
The space group is Pnma. The density of states at the Fermi level is 9.24 states/eV/cell. For the formation energy from the elements, the calculation gives 0.31 eV/atom.

abc: 9.708 2.887 9.321
angles: 90.00 90.00 90.00
Positions (direct):
1 Mn 0.045 0.250 0.244
2 Mn 0.116 0.750 0.003
3 Mn 0.384 0.250 0.503
4 Mn 0.455 0.750 0.744
5 Mn 0.545 0.250 0.256
6 Mn 0.616 0.750 0.497
7 Mn 0.884 0.250 0.997
8 Mn 0.955 0.750 0.756
9 Ag 0.128 0.750 0.499
10 Ag 0.203 0.250 0.753
11 Ag 0.297 0.750 0.253
12 Ag 0.372 0.250 0.999
13 Ag 0.628 0.750 0.001
14 Ag 0.703 0.250 0.747
15 Ag 0.797 0.750 0.247
16 Ag 0.872 0.250 0.501